Record 1
# K2CaMnCl6 (PBE-GGA, optimized geometry)
data_K2CaMnCl6
_cell_length_a 7.3701
_cell_length_b 7.3701
_cell_length_c 17.6900
_cell_angle_alpha 90.00
_cell_angle_beta 90.00
_cell_angle_gamma 120.00
_symmetry_space_group_name_H-M 'R -3'
_symmetry_Int_Tables_number 148
_symmetry_space_group_name_Hall '-R 3'
loop_
_atom_site_label
_atom_site_type_symbol
_atom_site_fract_x
_atom_site_fract_y
_atom_site_fract_z
_atom_site_occupancy
K1 K 0.0000 0.0000 0.2397 1
Ca1 Ca 0.0000 0.0000 0.5000 1
Mn1 Mn 0.0000 0.0000 0.0000 1
Cl1 Cl 0.0153 0.4363 0.7484 1
# Formation energy without anion corrections   -1.8355 eV per atom

---

Record 2
# KCaMn2Cl8 (PBE-GGA, optimized geometry)
data_KCaMn2Cl8
_cell_length_a 6.7165
_cell_length_b 6.7165
_cell_length_c 9.3055
_cell_angle_alpha 90.00
_cell_angle_beta 90.00
_cell_angle_gamma 120.00
_symmetry_space_group_name_H-M 'P -3'
_symmetry_Int_Tables_number 147
loop_
_symmetry_equiv_pos_as_xyz
'x,y,z'
'-x,-y,-z'
'-y,x-y,z'
'y,-x+y,-z'
'-x+y,-x,z'
'x-y,x,-z'
loop_
_atom_site_label
_atom_site_type_symbol
_atom_site_fract_x
_atom_site_fract_y
_atom_site_fract_z
_atom_site_occupancy
K1 K 0.0000 0.0000 0.0000 1
Ca1 Ca 0.0000 0.0000 0.5000 1
Mn1 Mn 0.3333 0.6667 0.7465 1
Cl1 Cl 0.0085 0.3258 0.6834 1
Cl2 Cl 0.3333 0.6667 0.9842 1
# Formation energy without anion corrections   -1.4649 eV per atom

---

Record 3
# KCaMoCl6 (PBE-GGA, optimized geometry)
data_KCaMoCl6
_cell_length_a 6.8315
_cell_length_b 6.8315
_cell_length_c 13.7227
_cell_angle_alpha 90.00
_cell_angle_beta 90.00
_cell_angle_gamma 120.00
_symmetry_space_group_name_H-M 'P -3 1 c'
_symmetry_Int_Tables_number 163
_symmetry_space_group_name_Hall '-P 3 2c'
loop_
_atom_site_label
_atom_site_type_symbol
_atom_site_fract_x
_atom_site_fract_y
_atom_site_fract_z
_atom_site_occupancy
K1 K 0.0000 0.0000 0.0000 1
Ca1 Ca 0.3333 0.6667 0.2500 1
Mo1 Mo 0.3333 0.6667 0.7500 1
Cl1 Cl 0.0313 0.3813 0.6447 1
# Formation energy without anion corrections   -1.6304 eV per atom

---

Record 4
# K2NaCaCl5 (PBE-GGA, optimized geometry)
data_K2NaCaCl5
_cell_length_a 4.233
_cell_length_b 17.739
_cell_length_c 14.290
_cell_angle_alpha 90.00
_cell_angle_beta 90.00
_cell_angle_gamma 90.00
_symmetry_space_group_name_H-M 'C m c 21'
_symmetry_Int_Tables_number 36
loop_
_symmetry_equiv_pos_as_xyz
'x,y,z'
'-x,-y,z+1/2'
'-x,y,z'
'x,-y,z+1/2'
'x+1/2,y+1/2,z'
'-x+1/2,-y+1/2,z+1/2'
'-x+1/2,y+1/2,z'
'x+1/2,-y+1/2,z+1/2'
loop_
_atom_site_label
_atom_site_type_symbol
_atom_site_fract_x
_atom_site_fract_y
_atom_site_fract_z
_atom_site_occupancy
K1 K 0.000 0.085 0.000 1
K2 K 0.000 0.135 0.638 1
Na1 Na 0.000 0.460 0.791 1
Ca1 Ca 0.000 0.225 0.366 1
Cl1 Cl 0.000 0.074 0.398 1
Cl2 Cl 0.000 0.263 0.997 1
Cl3 Cl 0.000 0.297 0.743 1
Cl4 Cl 0.000 0.377 0.335 1
Cl5 Cl 0.000 0.496 0.115 1
# Formation energy without anion corrections   -2.0593 eV per atom

---

Record 5
# KNa3Ca4Cl12 (PBE-GGA, optimized geometry)
data_KNa3Ca4Cl12
_cell_length_a 10.371
_cell_length_b 10.371
_cell_length_c 10.371
_cell_angle_alpha 90.00
_cell_angle_beta 90.00
_cell_angle_gamma 90.00
_symmetry_space_group_name_H-M 'I m -3'
_symmetry_Int_Tables_number 204
_symmetry_space_group_name_Hall '-I 2 2 3'
loop_
_atom_site_label
_atom_site_type_symbol
_atom_site_fract_x
_atom_site_fract_y
_atom_site_fract_z
_atom_site_occupancy
K1 K 0.000 0.000 0.000 1
Na1 Na 0.000 0.000 0.500 1
Ca1 Ca 0.250 0.250 0.250 1
Cl1 Cl 0.000 0.181 0.303 1
# Formation energy without anion corrections   -2.1619 eV per atom

---

Record 6
# KCaNdCl6 (PBE-GGA, optimized geometry)
data_KCaNdCl6
_cell_length_a 7.2422
_cell_length_b 7.2422
_cell_length_c 13.4735
_cell_angle_alpha 90.00
_cell_angle_beta 90.00
_cell_angle_gamma 120.00
_symmetry_space_group_name_H-M 'P -3 1 c'
_symmetry_Int_Tables_number 163
_symmetry_space_group_name_Hall '-P 3 2c'
loop_
_atom_site_label
_atom_site_type_symbol
_atom_site_fract_x
_atom_site_fract_y
_atom_site_fract_z
_atom_site_occupancy
K1 K 0.0000 0.0000 0.0000 1
Ca1 Ca 0.3333 0.6667 0.2500 1
Nd1 Nd 0.3333 0.6667 0.7500 1
Cl1 Cl 0.9997 0.3675 0.1368 1
# Formation energy without anion corrections   -2.2719 eV per atom

---

Record 7
# KCa2NiCl8 (PBE-GGA, optimized geometry)
data_KCa2NiCl8
_cell_length_a 6.122
_cell_length_b 8.339
_cell_length_c 6.518
_cell_angle_alpha 90.00
_cell_angle_beta 93.07
_cell_angle_gamma 90.00
_symmetry_space_group_name_H-M 'P 1 2/m 1'
_symmetry_Int_Tables_number 10
loop_
_symmetry_equiv_pos_as_xyz
'x,y,z'
'-x,-y,-z'
'-x,y,-z'
'x,-y,z'
loop_
_atom_site_label
_atom_site_type_symbol
_atom_site_fract_x
_atom_site_fract_y
_atom_site_fract_z
_atom_site_occupancy
K1 K 0.000 0.000 0.000 1
Ca1 Ca 0.500 0.261 0.500 1
Ni1 Ni 0.000 0.500 0.000 1
Cl1 Cl 0.219 0.311 0.142 1
Cl2 Cl 0.248 0.500 0.672 1
Cl3 Cl 0.297 0.000 0.655 1
# Formation energy without anion corrections   -1.5935 eV per atom

---

Record 8
# KCaNi2Cl8 (PBE-GGA, optimized geometry)
data_KCaNi2Cl8
_cell_length_a 6.4733
_cell_length_b 6.4733
_cell_length_c 27.7826
_cell_angle_alpha 90.00
_cell_angle_beta 90.00
_cell_angle_gamma 120.00
_symmetry_space_group_name_H-M 'R -3'
_symmetry_Int_Tables_number 148
_symmetry_space_group_name_Hall '-R 3'
loop_
_atom_site_label
_atom_site_type_symbol
_atom_site_fract_x
_atom_site_fract_y
_atom_site_fract_z
_atom_site_occupancy
K1 K 0.0000 0.0000 0.0000 1
Ca1 Ca 0.0000 0.0000 0.5000 1
Ni1 Ni 0.0000 0.0000 0.2482 1
Cl1 Cl 0.0000 0.0000 0.3261 1
Cl2 Cl 0.0024 0.6569 0.5595 1
# Formation energy without anion corrections   -1.1487 eV per atom

---

Record 9
# KCaOs2Cl (PBE-GGA, optimized geometry)
data_KCaOs2Cl
_cell_length_a 4.822
_cell_length_b 4.822
_cell_length_c 5.517
_cell_angle_alpha 90.00
_cell_angle_beta 90.00
_cell_angle_gamma 90.00
_symmetry_space_group_name_H-M 'P 4/m m m'
_symmetry_Int_Tables_number 123
_symmetry_space_group_name_Hall '-P 4 2'
loop_
_atom_site_label
_atom_site_type_symbol
_atom_site_fract_x
_atom_site_fract_y
_atom_site_fract_z
_atom_site_occupancy
K1 K 0.000 0.000 0.000 1
Ca1 Ca 0.500 0.500 0.500 1
Os1 Os 0.000 0.500 0.000 1
Cl1 Cl 0.000 0.000 0.500 1
# Formation energy without anion corrections   2.1189 eV per atom

---

Record 10
# KCaP2Cl (PBE-GGA, optimized geometry)
data_KCaP2Cl
_cell_length_a 5.542
_cell_length_b 5.542
_cell_length_c 5.458
_cell_angle_alpha 90.00
_cell_angle_beta 90.00
_cell_angle_gamma 90.00
_symmetry_space_group_name_H-M 'P 4/m m m'
_symmetry_Int_Tables_number 123
_symmetry_space_group_name_Hall '-P 4 2'
loop_
_atom_site_label
_atom_site_type_symbol
_atom_site_fract_x
_atom_site_fract_y
_atom_site_fract_z
_atom_site_occupancy
K1 K 0.000 0.000 0.000 1
Ca1 Ca 0.500 0.500 0.500 1
P1 P 0.000 0.500 0.500 1
Cl1 Cl 0.500 0.500 0.000 1
# Formation energy without anion corrections   -0.2457 eV per atom

---

Record 11
# KCaP2Cl (PBE-GGA, optimized geometry)
data_KCaP2Cl
_cell_length_a 5.318
_cell_length_b 5.318
_cell_length_c 5.463
_cell_angle_alpha 90.00
_cell_angle_beta 90.00
_cell_angle_gamma 90.00
_symmetry_space_group_name_H-M 'P 4/m m m'
_symmetry_Int_Tables_number 123
_symmetry_space_group_name_Hall '-P 4 2'
loop_
_atom_site_label
_atom_site_type_symbol
_atom_site_fract_x
_atom_site_fract_y
_atom_site_fract_z
_atom_site_occupancy
K1 K 0.000 0.000 0.000 1
Ca1 Ca 0.500 0.500 0.500 1
P1 P 0.000 0.500 0.000 1
Cl1 Cl 0.000 0.000 0.500 1
# Formation energy without anion corrections   0.4306 eV per atom

---

Record 12
# K2CaPbCl6 (PBE-GGA, optimized geometry)
data_K2CaPbCl6
_cell_length_a 7.430
_cell_length_b 7.826
_cell_length_c 13.037
_cell_angle_alpha 90.00
_cell_angle_beta 124.70
_cell_angle_gamma 90.00
_symmetry_space_group_name_H-M 'P 1 21/c 1'
_symmetry_Int_Tables_number 14
loop_
_symmetry_equiv_pos_as_xyz
'x,y,z'
'-x,-y,-z'
'-x,y+1/2,-z+1/2'
'x,-y+1/2,z+1/2'
loop_
_atom_site_label
_atom_site_type_symbol
_atom_site_fract_x
_atom_site_fract_y
_atom_site_fract_z
_atom_site_occupancy
K1 K 0.224 0.073 0.250 1
Ca1 Ca 0.000 0.000 0.500 1
Pb1 Pb 0.500 0.000 0.000 1
Cl1 Cl 0.124 0.206 0.938 1
Cl2 Cl 0.239 0.692 0.941 1
Cl3 Cl 0.359 0.041 0.742 1
# Formation energy without anion corrections   -1.8698 eV per atom

---

Record 13
# KCaPdCl6 (PBE-GGA, optimized geometry)
data_KCaPdCl6
_cell_length_a 8.860
_cell_length_b 9.442
_cell_length_c 12.041
_cell_angle_alpha 90.00
_cell_angle_beta 90.00
_cell_angle_gamma 90.00
_symmetry_space_group_name_H-M 'I m m a'
_symmetry_Int_Tables_number 74
_symmetry_space_group_name_Hall '-I 2b 2'
loop_
_atom_site_label
_atom_site_type_symbol
_atom_site_fract_x
_atom_site_fract_y
_atom_site_fract_z
_atom_site_occupancy
K1 K 0.000 0.250 0.156 1
Ca1 Ca 0.250 0.250 0.750 1
Pd1 Pd 0.000 0.000 0.500 1
Cl1 Cl 0.000 0.250 0.566 1
Cl2 Cl 0.000 0.250 0.879 1
Cl3 Cl 0.188 0.034 0.364 1
# Formation energy without anion corrections   -1.4001 eV per atom

---

Record 14
# KCaPrCl6 (PBE-GGA, optimized geometry)
data_KCaPrCl6
_cell_length_a 7.2725
_cell_length_b 7.2725
_cell_length_c 13.4577
_cell_angle_alpha 90.00
_cell_angle_beta 90.00
_cell_angle_gamma 120.00
_symmetry_space_group_name_H-M 'P -3 1 c'
_symmetry_Int_Tables_number 163
_symmetry_space_group_name_Hall '-P 3 2c'
loop_
_atom_site_label
_atom_site_type_symbol
_atom_site_fract_x
_atom_site_fract_y
_atom_site_fract_z
_atom_site_occupancy
K1 K 0.0000 0.0000 0.0000 1
Ca1 Ca 0.3333 0.6667 0.2500 1
Pr1 Pr 0.3333 0.6667 0.7500 1
Cl1 Cl 0.0020 0.3680 0.1365 1
# Formation energy without anion corrections   -2.2686 eV per atom

---

Record 15
# K2CaPuCl6 (PBE-GGA, optimized geometry)
data_K2CaPuCl6
_cell_length_a 7.413
_cell_length_b 7.778
_cell_length_c 12.974
_cell_angle_alpha 90.00
_cell_angle_beta 124.69
_cell_angle_gamma 90.00
_symmetry_space_group_name_H-M 'P 1 21/c 1'
_symmetry_Int_Tables_number 14
loop_
_symmetry_equiv_pos_as_xyz
'x,y,z'
'-x,-y,-z'
'-x,y+1/2,-z+1/2'
'x,-y+1/2,z+1/2'
loop_
_atom_site_label
_atom_site_type_symbol
_atom_site_fract_x
_atom_site_fract_y
_atom_site_fract_z
_atom_site_occupancy
K1 K 0.226 0.069 0.250 1
Ca1 Ca 0.000 0.000 0.500 1
Pu1 Pu 0.500 0.000 0.000 1
Cl1 Cl 0.132 0.206 0.940 1
Cl2 Cl 0.242 0.696 0.943 1
Cl3 Cl 0.357 0.040 0.745 1
# Formation energy without anion corrections   -2.0205 eV per atom

---

Record 16
# KRb2CaCl5 (PBE-GGA, optimized geometry)
data_KRb2CaCl5
_cell_length_a 5.269
_cell_length_b 7.642
_cell_length_c 15.832
_cell_angle_alpha 90.00
_cell_angle_beta 90.00
_cell_angle_gamma 90.00
_symmetry_space_group_name_H-M 'I m m m'
_symmetry_Int_Tables_number 71
_symmetry_space_group_name_Hall '-I 2 2'
loop_
_atom_site_label
_atom_site_type_symbol
_atom_site_fract_x
_atom_site_fract_y
_atom_site_fract_z
_atom_site_occupancy
K1 K 0.000 0.000 0.000 1
Rb1 Rb 0.000 0.500 0.208 1
Ca1 Ca 0.000 0.000 0.500 1
Cl1 Cl 0.000 0.250 0.375 1
Cl2 Cl 0.000 0.500 0.000 1
# Formation energy without anion corrections   -2.0694 eV per atom

---

Record 17
# K2Rb3CaCl6 (PBE-GGA, optimized geometry)
data_K2Rb3CaCl6
_cell_length_a 7.928
_cell_length_b 13.787
_cell_length_c 8.264
_cell_angle_alpha 90.00
_cell_angle_beta 108.15
_cell_angle_gamma 90.00
_symmetry_space_group_name_H-M 'C 1 2/m 1'
_symmetry_Int_Tables_number 12
loop_
_symmetry_equiv_pos_as_xyz
'x,y,z'
'-x,-y,-z'
'-x,y,-z'
'x,-y,z'
'x+1/2,y+1/2,z'
'-x+1/2,-y+1/2,-z'
'-x+1/2,y+1/2,-z'
'x+1/2,-y+1/2,z'
loop_
_atom_site_label
_atom_site_type_symbol
_atom_site_fract_x
_atom_site_fract_y
_atom_site_fract_z
_atom_site_occupancy
K1 K 0.000 0.167 0.000 1
Rb1 Rb 0.000 0.000 0.500 1
Rb2 Rb 0.000 0.334 0.500 1
Ca1 Ca 0.000 0.500 0.000 1
Cl1 Cl 0.213 0.355 0.203 1
Cl2 Cl 0.224 0.500 0.792 1
# Formation energy without anion corrections   -1.8655 eV per atom

---

Record 18
# KRbCaCl4 (PBE-GGA, optimized geometry)
data_KRbCaCl4
_cell_length_a 5.381
_cell_length_b 5.381
_cell_length_c 16.377
_cell_angle_alpha 90.00
_cell_angle_beta 90.00
_cell_angle_gamma 90.00
_symmetry_space_group_name_H-M 'I 4 m m'
_symmetry_Int_Tables_number 107
_symmetry_space_group_name_Hall 'I 4 -2'
loop_
_atom_site_label
_atom_site_type_symbol
_atom_site_fract_x
_atom_site_fract_y
_atom_site_fract_z
_atom_site_occupancy
K1 K 0.000 0.000 0.000 1
Rb1 Rb 0.000 0.000 0.285 1
Ca1 Ca 0.000 0.000 0.643 1
Cl1 Cl 0.000 0.000 0.478 1
Cl2 Cl 0.000 0.000 0.810 1
Cl3 Cl 0.000 0.500 0.141 1
# Formation energy without anion corrections   -2.1370 eV per atom

---

Record 19
# KCaRuCl6 (PBE-GGA, optimized geometry)
data_KCaRuCl6
_cell_length_a 6.7426
_cell_length_b 6.7426
_cell_length_c 13.6427
_cell_angle_alpha 90.00
_cell_angle_beta 90.00
_cell_angle_gamma 120.00
_symmetry_space_group_name_H-M 'P -3 1 c'
_symmetry_Int_Tables_number 163
_symmetry_space_group_name_Hall '-P 3 2c'
loop_
_atom_site_label
_atom_site_type_symbol
_atom_site_fract_x
_atom_site_fract_y
_atom_site_fract_z
_atom_site_occupancy
K1 K 0.0000 0.0000 0.0000 1
Ca1 Ca 0.3333 0.6667 0.2500 1
Ru1 Ru 0.3333 0.6667 0.7500 1
Cl1 Cl 0.0403 0.3853 0.6470 1
# Formation energy without anion corrections   -1.4457 eV per atom